## VPO3 (PBE+U)

Data for a relaxed structure of VPO3.

a b c (Å): 3.8200 3.8200 3.8200
angles (deg): 90.00 90.00 90.00
Closest atoms and distances in Å follow each position.
Positions (direct):
O 0.0000 0.5000 0.0000  2 V 1.91
V 0.0000 0.0000 0.0000  6 O 1.91
O 0.5000 0.0000 0.0000  2 V 1.91
P 0.5000 0.5000 0.5000  12 O 2.70
O 0.0000 0.0000 0.5000  2 V 1.91

Total magnetic moment in μB per atom: 0.3918
Electronic total energy in eV per atom: -6.2095